## PmPr5P6 (GGA-PBE)

Data for an optimized crystal structure of PmPr5P6.

The structure in POSCAR format:
```
PmPr5P6
1.0
3.6320 -6.2887 0.0000
3.6320 6.2887 0.0000
-2.4225 0.0000 6.8471
Pm Pr P
1 5 6
direct
0.0000 0.0000 0.0000 Pm
0.1669 0.8331 0.5000 Pr
0.3334 0.6666 0.0000 Pr
0.5000 0.5000 0.5000 Pr
0.6666 0.3334 0.0000 Pr
0.8331 0.1669 0.5000 Pr
0.0828 0.4140 0.2485 P
0.2482 0.2482 0.7513 P
0.4140 0.0828 0.2485 P
0.5860 0.9172 0.7515 P
0.7518 0.7518 0.2487 P
0.9172 0.5860 0.7515 P
```

Output
The calculated total energy comes out at -79.40 eV per cell. The formation enthalpy at 0 K is -1.525 eV/atom. The symmetry is C2/m (12).